# Pr2GdMg3InGa2 | OQMD via LeMat-Bulk | PBE | optimized geometry
data_Pr2GdMg3InGa2
_symmetry_space_group_name_H-M 'P 1'
_symmetry_Int_Tables_number 1
_cell_length_a 4.641
_cell_length_b 7.490
_cell_length_c 7.490
_cell_angle_alpha 119.56
_cell_angle_beta 90.00
_cell_angle_gamma 90.00
loop_
_symmetry_equiv_pos_as_xyz
'x,y,z'
loop_
_atom_site_label
_atom_site_type_symbol
_atom_site_fract_x
_atom_site_fract_y
_atom_site_fract_z
Pr1 Pr 0.000 0.218 0.782
Pr2 Pr 0.000 0.782 0.218
Gd1 Gd 0.000 0.347 0.347
Mg1 Mg 0.500 0.031 0.031
Mg2 Mg 0.500 0.533 0.780
Mg3 Mg 0.500 0.780 0.533
In1 In 0.000 0.776 0.776
Ga1 Ga 0.500 0.119 0.446
Ga2 Ga 0.500 0.446 0.119
# Space group: Amm2 (38)
# M_tot (μB per formula unit): 0.0
# Electronic total energy (eV/atom): -3.54


# SmPuRe | OQMD via LeMat-Bulk | PBE | optimized geometry
data_SmPuRe
_symmetry_space_group_name_H-M 'P 1'
_symmetry_Int_Tables_number 1
_cell_length_a 4.621
_cell_length_b 4.621
_cell_length_c 4.621
_cell_angle_alpha 60.00
_cell_angle_beta 60.00
_cell_angle_gamma 60.00
loop_
_symmetry_equiv_pos_as_xyz
'x,y,z'
loop_
_atom_site_label
_atom_site_type_symbol
_atom_site_fract_x
_atom_site_fract_y
_atom_site_fract_z
Sm1 Sm 0.000 0.000 0.000
Pu1 Pu 0.750 0.750 0.750
Re1 Re 0.250 0.250 0.250
# Space group: F-43m (216)
# M_tot (μB per formula unit): 4.4
# ΔH_f (0 K) (eV per atom): 1.120


# PrGdZn2In2 | OQMD via LeMat-Bulk | PBE | optimized geometry
data_PrGdZn2In2
_symmetry_space_group_name_H-M 'P 1'
_symmetry_Int_Tables_number 1
_cell_length_a 4.712
_cell_length_b 4.712
_cell_length_c 7.519
_cell_angle_alpha 90.00
_cell_angle_beta 90.00
_cell_angle_gamma 120.00
loop_
_symmetry_equiv_pos_as_xyz
'x,y,z'
loop_
_atom_site_label
_atom_site_type_symbol
_atom_site_fract_x
_atom_site_fract_y
_atom_site_fract_z
Pr1 Pr 0.000 0.000 0.000
Gd1 Gd 0.000 0.000 0.501
Zn1 Zn 0.333 0.667 0.207
Zn2 Zn 0.667 0.333 0.693
In1 In 0.333 0.667 0.768
In2 In 0.667 0.333 0.282
# Space group: P3m1 (156)
# M_tot (μB per formula unit): 0.0
# Electronic total energy (eV/atom): -3.39


# NbTlIn | OQMD via LeMat-Bulk | PBE | optimized geometry
data_NbTlIn
_symmetry_space_group_name_H-M 'P 1'
_symmetry_Int_Tables_number 1
_cell_length_a 4.785
_cell_length_b 4.785
_cell_length_c 4.785
_cell_angle_alpha 60.00
_cell_angle_beta 60.00
_cell_angle_gamma 60.00
loop_
_symmetry_equiv_pos_as_xyz
'x,y,z'
loop_
_atom_site_label
_atom_site_type_symbol
_atom_site_fract_x
_atom_site_fract_y
_atom_site_fract_z
Nb1 Nb 0.000 0.000 0.000
Tl1 Tl 0.750 0.750 0.750
In1 In 0.500 0.500 0.500
# E above lowest polymorph (meV per atom): 195
# Space group: F-43m (216)
# M_tot (μB per formula unit): 2.6


# LaPr2Al2Ni4 | OQMD via LeMat-Bulk | PBE | optimized geometry
data_LaPr2Al2Ni4
_symmetry_space_group_name_H-M 'P 1'
_symmetry_Int_Tables_number 1
_cell_length_a 5.551
_cell_length_b 5.551
_cell_length_c 8.354
_cell_angle_alpha 98.28
_cell_angle_beta 98.28
_cell_angle_gamma 44.26
loop_
_symmetry_equiv_pos_as_xyz
'x,y,z'
loop_
_atom_site_label
_atom_site_type_symbol
_atom_site_fract_x
_atom_site_fract_y
_atom_site_fract_z
La1 La 0.000 0.000 0.000
Pr1 Pr 0.376 0.376 0.619
Pr2 Pr 0.624 0.624 0.381
Al1 Al 0.322 0.322 0.213
Al2 Al 0.678 0.678 0.787
Ni1 Ni 0.086 0.086 0.638
Ni2 Ni 0.262 0.262 0.914
Ni3 Ni 0.738 0.738 0.086
Ni4 Ni 0.914 0.914 0.362
# Space group: C2/m (12)
# M_tot (μB per formula unit): 0.0
# Electronic total energy (eV/atom): -5.40


# AlOsW2 | OQMD via LeMat-Bulk | PBE | optimized geometry
data_AlOsW2
_symmetry_space_group_name_H-M 'P 1'
_symmetry_Int_Tables_number 1
_cell_length_a 4.415
_cell_length_b 4.415
_cell_length_c 4.415
_cell_angle_alpha 60.00
_cell_angle_beta 60.00
_cell_angle_gamma 60.00
loop_
_symmetry_equiv_pos_as_xyz
'x,y,z'
loop_
_atom_site_label
_atom_site_type_symbol
_atom_site_fract_x
_atom_site_fract_y
_atom_site_fract_z
Al1 Al 0.000 0.000 0.000
Os1 Os 0.250 0.250 0.250
W1 W 0.500 0.500 0.500
W2 W 0.750 0.750 0.750
# Space group: F-43m (216)
# M_tot (μB per formula unit): 0.0
# Electronic total energy (eV/atom): -10.24


# FePd | OQMD via LeMat-Bulk | PBE | optimized geometry
data_FePd
_symmetry_space_group_name_H-M 'P 1'
_symmetry_Int_Tables_number 1
_cell_length_a 3.563
_cell_length_b 3.563
_cell_length_c 3.563
_cell_angle_alpha 60.00
_cell_angle_beta 60.00
_cell_angle_gamma 60.00
loop_
_symmetry_equiv_pos_as_xyz
'x,y,z'
loop_
_atom_site_label
_atom_site_type_symbol
_atom_site_fract_x
_atom_site_fract_y
_atom_site_fract_z
Fe1 Fe 0.000 0.000 0.000
Pd1 Pd 0.500 0.500 0.500
# Space group: Fm-3m (225)
# M_tot (μB per formula unit): 3.7
# ΔH_f (0 K) (eV per atom): 0.445


# UW | OQMD via LeMat-Bulk | PBE | optimized geometry
data_UW
_symmetry_space_group_name_H-M 'P 1'
_symmetry_Int_Tables_number 1
_cell_length_a 3.011
_cell_length_b 3.011
_cell_length_c 4.866
_cell_angle_alpha 90.00
_cell_angle_beta 90.00
_cell_angle_gamma 120.00
loop_
_symmetry_equiv_pos_as_xyz
'x,y,z'
loop_
_atom_site_label
_atom_site_type_symbol
_atom_site_fract_x
_atom_site_fract_y
_atom_site_fract_z
U1 U 0.000 0.000 0.000
W1 W 0.667 0.333 0.500
# E above lowest polymorph (meV per atom): 0
# Space group: P-6m2 (187)
# M_tot (μB per formula unit): 0.0
# ΔH_f (0 K) (eV per atom): 0.682


# SmNpNi | OQMD via LeMat-Bulk | PBE | optimized geometry
data_SmNpNi
_symmetry_space_group_name_H-M 'P 1'
_symmetry_Int_Tables_number 1
_cell_length_a 4.678
_cell_length_b 4.678
_cell_length_c 4.678
_cell_angle_alpha 60.00
_cell_angle_beta 60.00
_cell_angle_gamma 60.00
loop_
_symmetry_equiv_pos_as_xyz
'x,y,z'
loop_
_atom_site_label
_atom_site_type_symbol
_atom_site_fract_x
_atom_site_fract_y
_atom_site_fract_z
Sm1 Sm 0.000 0.000 0.000
Np1 Np 0.500 0.500 0.500
Ni1 Ni 0.250 0.250 0.250
# E above lowest polymorph (meV per atom): 0
# Space group: F-43m (216)
# M_tot (μB per formula unit): 5.2
# ΔH_f (0 K) (eV per atom): 0.321


# Ba2AsAu | OQMD via LeMat-Bulk | PBE | optimized geometry
data_Ba2AsAu
_symmetry_space_group_name_H-M 'P 1'
_symmetry_Int_Tables_number 1
_cell_length_a 11.355
_cell_length_b 5.678
_cell_length_c 8.026
_cell_angle_alpha 90.00
_cell_angle_beta 90.00
_cell_angle_gamma 90.00
loop_
_symmetry_equiv_pos_as_xyz
'x,y,z'
loop_
_atom_site_label
_atom_site_type_symbol
_atom_site_fract_x
_atom_site_fract_y
_atom_site_fract_z
Ba1 Ba 0.125 0.250 0.001
Ba2 Ba 0.126 0.250 0.501
Ba3 Ba 0.374 0.750 0.001
Ba4 Ba 0.375 0.750 0.501
Ba5 Ba 0.625 0.250 0.499
Ba6 Ba 0.626 0.250 0.999
Ba7 Ba 0.874 0.750 0.499
Ba8 Ba 0.875 0.750 0.999
As1 As 0.125 0.750 0.750
As2 As 0.375 0.250 0.250
As3 As 0.625 0.750 0.750
As4 As 0.875 0.250 0.250
Au1 Au 0.125 0.750 0.252
Au2 Au 0.375 0.250 0.752
Au3 Au 0.625 0.750 0.248
Au4 Au 0.875 0.250 0.748
# Space group: Pnma (62)
# Electronic total energy (eV/atom): -3.89


# ThB4W | OQMD via LeMat-Bulk | PBE | optimized geometry
data_ThB4W
_symmetry_space_group_name_H-M 'P 1'
_symmetry_Int_Tables_number 1
_cell_length_a 6.116
_cell_length_b 6.116
_cell_length_c 3.758
_cell_angle_alpha 90.00
_cell_angle_beta 90.00
_cell_angle_gamma 104.18
loop_
_symmetry_equiv_pos_as_xyz
'x,y,z'
loop_
_atom_site_label
_atom_site_type_symbol
_atom_site_fract_x
_atom_site_fract_y
_atom_site_fract_z
Th1 Th 0.198 0.802 0.000
Th2 Th 0.802 0.198 0.000
B1 B 0.122 0.436 0.500
B2 B 0.128 0.128 0.500
B3 B 0.410 0.590 0.500
B4 B 0.436 0.122 0.500
B5 B 0.564 0.878 0.500
B6 B 0.590 0.410 0.500
B7 B 0.872 0.872 0.500
B8 B 0.878 0.564 0.500
W1 W 0.328 0.328 0.000
W2 W 0.672 0.672 0.000
# E above lowest polymorph (meV per atom): 0
# Space group: Cmmm (65)
# M_tot (μB per formula unit): 0.0


no.,mass density (g/cm3)
1,5.62
2,13.82
3,7.56
4,8.83
5,6.64
6,15.96
7,8.42
8,18.34
9,10.23
10,7.02
11,11.19